An optimized crystal structure of La4TlTeH. Source: the Alexandria database, functional PBE.

Cell and atoms, written as POSCAR:
```
La4TlTeH
1.0
6.6411 0.0000 0.0000
0.0000 6.6735 0.0000
-3.3205 0.0000 9.0798
La H Te Tl
8 2 2 2
Direct
0.5730 0.2500 0.1460
0.9293 0.2500 0.8586
0.0000 0.0000 0.5000
0.4270 0.7500 0.8540
0.5000 0.5000 0.5000
0.0707 0.7500 0.1414
0.5000 0.0000 0.5000
0.0000 0.5000 0.5000
0.7062 0.2500 0.4125
0.2938 0.7500 0.5875
0.3871 0.2500 0.7742
0.6129 0.7500 0.2258
0.8904 0.7500 0.7809
0.1096 0.2500 0.2191
```

Results
Its volume is 402.41 Å³/cell. The crystal system is orthorhombic. The raw total energy is -67.01 eV/cell.